First-principles (GGA-PBE) data for a relaxed structure of SrHoAgRh, as listed in Alexandria.

Results
E_form, eV per atom: -0.32
Space-group type: F-43m
Total magnetic moment, μB/f.u.: 0.0

Unit cell a=5.106 b=5.106 c=5.106 alpha=60.00 beta=60.00 gamma=60.00
Atoms (fractional coordinates):
Sr1 0.000 0.000 0.000
Ho1 0.500 0.500 0.500
Ag1 0.250 0.250 0.250
Rh1 0.750 0.750 0.750